This record from the Open Quantum Materials Database describes an optimized crystal structure of InIrW2. The functional is PBE.

```
4
Lattice="0.000 3.219 3.219 3.219 0.000 3.219 3.219 3.219 0.000" Properties=species:S:1:pos:R:3 pbc="T T T"
In 0.000 0.000 0.000
Ir 1.610 1.610 1.610
W 3.219 3.219 3.219
W 4.829 4.829 4.829
```

Output
The raw total energy is -9.0206 eV per atom. The mass density is 16.79 Mg/m³. Its crystal system is cubic. As for the space group: F-43m (216).

=====

This record from the Open Quantum Materials Database describes an optimized crystal structure of RbPaAsO. The functional is PBE.

```
8
Lattice="5.808 0.000 0.000 0.000 5.808 0.000 0.000 0.000 5.574" Properties=species:S:1:pos:R:3 pbc="T T T"
Rb 1.452 1.452 0.004
Rb 4.356 4.356 5.570
Pa 1.452 4.356 2.787
Pa 4.356 1.452 2.787
As 1.452 1.452 2.792
As 4.356 4.356 2.782
O 1.452 4.356 0.000
O 4.356 1.452 0.000
```

Output
The relative energy among the computed polymorphs is 793 meV per atom. The mass density is 7.20 Mg/m³. Its crystal system is tetragonal. As for the space group: P4/nmm (129).

=====

This record from the Open Quantum Materials Database describes an optimized crystal structure of SrTmZr. The functional is PBE.

```
3
Lattice="0.000 3.816 3.816 3.816 0.000 3.816 3.816 3.816 0.000" Properties=species:S:1:pos:R:3 pbc="T T T"
Sr 0.000 0.000 0.000
Tm 1.908 1.908 1.908
Zr 3.816 3.816 3.816
```

Output
The raw total energy is -3.7349 eV per atom. The mass density is 5.20 Mg/m³. Its crystal system is cubic. As for the space group: F-43m (216).

=====

This record from the Open Quantum Materials Database describes an optimized crystal structure of K2GaNiCl6. The functional is PBE.

```
10
Lattice="0.000 4.881 4.881 4.881 0.000 4.881 4.881 4.881 0.000" Properties=species:S:1:pos:R:3 pbc="T T T"
K 2.441 2.441 2.441
K 7.322 7.322 7.322
Ga 0.000 0.000 0.000
Ni 4.881 4.881 4.881
Cl 4.881 4.881 2.470
Cl 4.881 2.470 4.881
Cl 7.292 4.881 4.881
Cl 2.470 4.881 4.881
Cl 4.881 7.292 4.881
Cl 4.881 4.881 7.292
```

Output
The raw total energy is -3.4163 eV per atom. The mass density is 2.99 Mg/m³. Its crystal system is cubic. As for the space group: Fm-3m (225).